# Zr2TlSnSb PBEsol relaxed
data_Zr2TlSnSb
_chemical_formula_sum 'Zr2 Tl1 Sn1 Sb1'
_cell_length_a 5.2581
_cell_length_b 5.3891
_cell_length_c 5.3891
_cell_angle_alpha 90.00
_cell_angle_beta 90.00
_cell_angle_gamma 90.00
_space_group_name_H-M_alt 'P 1'
_space_group_IT_number 1
_space_group_name_Hall 'P 1'
loop_
_atom_site_label
_atom_site_fract_x
_atom_site_fract_y
_atom_site_fract_z
Sn1 0.5000 0.0000 0.0000
Tl1 0.0000 0.0000 0.0000
Sb1 0.5000 0.5000 0.5000
Zr1 0.0000 0.5000 0.0000
Zr2 0.0000 0.0000 0.5000
# ΔE_f (raw) (eV per atom): 1.00
# V (Å³ per cell): 152.7
# Space-group type: P4/mmm, No. 123